A plane-wave DFT calculation with PBE-GGA was carried out for a relaxed structure of Rb2Si4Au5.

Summary:
Its space group is P-1. For the raw formation energy, the calculation gives -0.18 eV per atom.

Cell: 7.1546 6.3433 8.7210 Å, 72.72 65.68 55.66°
Last column: nearest neighbours and their distance in Å.
Fractional coordinates of all 11 atoms:
Rb 0.2551 0.8236 0.6671  7 Au 3.67-3.85, 6 Si 3.83-4.09
Rb 0.7449 0.1764 0.3329  7 Au 3.67-3.85, 6 Si 3.83-4.09
Si 0.3954 0.0472 0.1611  2 Si 2.37-2.65, 2 Au 2.47
Si 0.6046 0.9528 0.8389  2 Si 2.37-2.65, 2 Au 2.47
Si 0.8445 0.5075 0.8044  1 Si 2.37, 3 Au 2.42
Si 0.1555 0.4925 0.1956  1 Si 2.37, 3 Au 2.42
Au 0.1766 0.2788 0.9152  2 Si 2.42-2.47
Au 0.8234 0.7212 0.0848  2 Si 2.42-2.47
Au 0.0000 0.5000 0.5000  2 Si 2.42
Au 0.6298 0.2789 0.9152  2 Si 2.42-2.47
Au 0.3702 0.7211 0.0848  2 Si 2.42-2.47

---

A plane-wave DFT calculation with PBE-GGA was carried out for a relaxed structure of Pm5Er12Tl2.

Summary:
Its space group is C2/m. The calculation puts the formation energy at 0.017 eV per atom.

Cell: 9.3357 12.0528 8.3000 Å, 131.74 90.00 112.79°
Last column: nearest neighbours and their distance in Å.
Fractional coordinates of all 19 atoms:
Pm 0.3071 0.6141 0.6220  2 Tl 3.43, 8 Er 3.45-3.68, 1 Pm 3.57
Pm 0.2344 0.4688 0.8901  8 Er 3.35-3.54, 2 Pm 3.57-3.64
Pm 0.0000 0.0000 0.5000  10 Er 3.36-3.69, 2 Pm 3.64
Pm 0.7656 0.5312 0.1099  8 Er 3.35-3.54, 2 Pm 3.57-3.64
Pm 0.6929 0.3859 0.3780  2 Tl 3.43, 8 Er 3.45-3.68, 1 Pm 3.57
Er 0.0809 0.1619 0.2807  5 Er 3.23-3.53, 2 Tl 3.35, 3 Pm 3.36-3.57
Er 0.0370 0.7073 0.9440  1 Tl 3.18, 3 Er 3.38-3.53, 1 Pm 3.54
Er 0.6703 0.7073 0.9440  1 Tl 3.18, 3 Er 3.38-3.53, 1 Pm 3.54
Er 0.1799 0.7470 0.4107  5 Er 3.30-3.61, 4 Pm 3.39-3.69, 1 Tl 3.46
Er 0.5671 0.7470 0.4107  5 Er 3.30-3.61, 4 Pm 3.39-3.69, 1 Tl 3.46
Er 0.5527 0.1053 0.7821  2 Tl 3.27, 7 Er 3.30-3.51, 2 Pm 3.35-3.45
Er 0.4473 0.8947 0.2179  2 Tl 3.27, 7 Er 3.30-3.51, 2 Pm 3.35-3.45
Er 0.8201 0.2530 0.5893  5 Er 3.30-3.61, 4 Pm 3.39-3.69, 1 Tl 3.46
Er 0.4329 0.2530 0.5893  5 Er 3.30-3.61, 4 Pm 3.39-3.69, 1 Tl 3.46
Er 0.9630 0.2927 0.0560  1 Tl 3.18, 3 Er 3.38-3.53, 1 Pm 3.54
Er 0.3297 0.2927 0.0560  1 Tl 3.18, 3 Er 3.38-3.53, 1 Pm 3.54
Er 0.9191 0.8381 0.7193  5 Er 3.23-3.53, 2 Tl 3.35, 3 Pm 3.36-3.57
Tl 0.6852 0.0000 0.0000  8 Er 3.18-3.46, 2 Pm 3.43, 1 Tl 3.46
Tl 0.3148 0.0000 0.0000  8 Er 3.18-3.46, 2 Pm 3.43, 1 Tl 3.46

---

A plane-wave DFT calculation with PBE-GGA was carried out for a relaxed structure of NbAg.

Summary:
Its space group is I4/m. The calculation puts the formation energy at 0.320 eV per atom.

Cell: 10.5807 10.5807 2.7273 Å, 90.00 90.00 90.00°
Last column: nearest neighbours and their distance in Å.
Fractional coordinates of all 16 atoms:
Nb 0.3444 0.9271 0.0000  6 Nb 2.73-2.91, 3 Ag 2.90-3.01
Nb 0.6556 0.0729 0.0000  6 Nb 2.73-2.91, 3 Ag 2.90-3.01
Nb 0.0729 0.3444 0.0000  6 Nb 2.73-2.91, 3 Ag 2.90-3.01
Nb 0.9271 0.6556 0.0000  6 Nb 2.73-2.91, 3 Ag 2.90-3.01
Nb 0.8444 0.4271 0.5000  6 Nb 2.73-2.91, 3 Ag 2.90-3.01
Nb 0.1556 0.5729 0.5000  6 Nb 2.73-2.91, 3 Ag 2.90-3.01
Nb 0.5729 0.8444 0.5000  6 Nb 2.73-2.91, 3 Ag 2.90-3.01
Nb 0.4271 0.1556 0.5000  6 Nb 2.73-2.91, 3 Ag 2.90-3.01
Ag 0.6057 0.3427 0.0000  4 Ag 2.73-2.84, 3 Nb 2.90-3.01
Ag 0.3943 0.6573 0.0000  4 Ag 2.73-2.84, 3 Nb 2.90-3.01
Ag 0.6573 0.6057 0.0000  4 Ag 2.73-2.84, 3 Nb 2.90-3.01
Ag 0.3427 0.3943 0.0000  4 Ag 2.73-2.84, 3 Nb 2.90-3.01
Ag 0.1057 0.8427 0.5000  4 Ag 2.73-2.84, 3 Nb 2.90-3.01
Ag 0.8943 0.1573 0.5000  4 Ag 2.73-2.84, 3 Nb 2.90-3.01
Ag 0.1573 0.1057 0.5000  4 Ag 2.73-2.84, 3 Nb 2.90-3.01
Ag 0.8427 0.8943 0.5000  4 Ag 2.73-2.84, 3 Nb 2.90-3.01

---

A plane-wave DFT calculation with PBE-GGA was carried out for a relaxed structure of Ba2In5Ag3.

Summary:
The offset from the most stable computed form is 0.00 eV/f.u. Its space group is Ibam. The calculation puts the formation energy at -0.321 eV per atom.

Cell: 6.9305 9.7222 9.7222 Å, 75.80 69.12 69.12°
Last column: nearest neighbours and their distance in Å.
Fractional coordinates of all 20 atoms:
Ba 0.1278 0.6243 0.1201  10 In 3.65-3.89, 6 Ag 3.69-3.85
Ba 0.6278 0.1201 0.6243  10 In 3.65-3.89, 6 Ag 3.69-3.85
Ba 0.8722 0.3757 0.8799  10 In 3.65-3.89, 6 Ag 3.69-3.85
Ba 0.3722 0.8799 0.3757  10 In 3.65-3.89, 6 Ag 3.69-3.85
In 0.3810 0.2520 0.9860  3 Ag 2.80-2.86, 2 In 3.00
In 0.8810 0.9860 0.2520  3 Ag 2.80-2.86, 2 In 3.00
In 0.6190 0.7480 0.0140  3 Ag 2.80-2.86, 2 In 3.00
In 0.1190 0.0140 0.7480  3 Ag 2.80-2.86, 2 In 3.00
In 0.5056 0.7444 0.7444  2 Ag 2.88, 2 In 3.00
In 0.4944 0.2556 0.2556  2 Ag 2.88, 2 In 3.00
In 0.7500 0.5000 0.5000  4 Ag 2.88
In 0.2500 0.5000 0.5000  4 Ag 2.88
In 0.9944 0.2556 0.2556  2 Ag 2.88, 2 In 3.00
In 0.0056 0.7444 0.7444  2 Ag 2.88, 2 In 3.00
Ag 0.3779 0.4895 0.7547  5 In 2.80-2.88
Ag 0.8779 0.7547 0.4895  5 In 2.80-2.88
Ag 0.6221 0.5105 0.2453  5 In 2.80-2.88
Ag 0.1221 0.2453 0.5105  5 In 2.80-2.88
Ag 0.2500 0.0000 0.0000  4 In 2.86
Ag 0.7500 0.0000 0.0000  4 In 2.86

---

A plane-wave DFT calculation with PBE-GGA was carried out for a relaxed structure of Fe12Co6Si.

Summary:
Its space group is R-3. For the raw formation energy, the calculation gives 0.03 eV per atom.

Cell: 6.0739 6.0739 6.0739 Å, 89.53 89.53 89.53°
Last column: nearest neighbours and their distance in Å.
Fractional coordinates of all 19 atoms:
Fe 0.8155 0.4184 0.5156  4 Co 2.43-2.49, 5 Fe 2.46-2.70
Fe 0.5156 0.8155 0.4184  4 Co 2.43-2.49, 5 Fe 2.46-2.70
Fe 0.4184 0.5156 0.8155  4 Co 2.43-2.49, 5 Fe 2.46-2.70
Fe 0.1845 0.5816 0.4844  4 Co 2.43-2.49, 5 Fe 2.46-2.70
Fe 0.4844 0.1845 0.5816  4 Co 2.43-2.49, 5 Fe 2.46-2.70
Fe 0.5816 0.4844 0.1845  4 Co 2.43-2.49, 5 Fe 2.46-2.70
Fe 0.1414 0.0548 0.3791  4 Fe 2.35-2.56, 1 Si 2.49, 5 Co 2.51-2.62
Fe 0.9452 0.6209 0.8586  4 Fe 2.35-2.56, 1 Si 2.49, 5 Co 2.51-2.62
Fe 0.6209 0.8586 0.9452  4 Fe 2.35-2.56, 1 Si 2.49, 5 Co 2.51-2.62
Fe 0.8586 0.9452 0.6209  4 Fe 2.35-2.56, 1 Si 2.49, 5 Co 2.51-2.62
Fe 0.0548 0.3791 0.1414  4 Fe 2.35-2.56, 1 Si 2.49, 5 Co 2.51-2.62
Fe 0.3791 0.1414 0.0548  4 Fe 2.35-2.56, 1 Si 2.49, 5 Co 2.51-2.62
Co 0.8807 0.7357 0.2611  1 Si 2.36, 9 Fe 2.43-2.62, 2 Co 2.48
Co 0.7389 0.1193 0.2643  1 Si 2.36, 9 Fe 2.43-2.62, 2 Co 2.48
Co 0.2643 0.7389 0.1193  1 Si 2.36, 9 Fe 2.43-2.62, 2 Co 2.48
Co 0.1193 0.2643 0.7389  1 Si 2.36, 9 Fe 2.43-2.62, 2 Co 2.48
Co 0.2611 0.8807 0.7357  1 Si 2.36, 9 Fe 2.43-2.62, 2 Co 2.48
Co 0.7357 0.2611 0.8807  1 Si 2.36, 9 Fe 2.43-2.62, 2 Co 2.48
Si 0.0000 0.0000 0.0000  6 Co 2.36, 6 Fe 2.49

---

A plane-wave DFT calculation with PBE-GGA was carried out for a relaxed structure of NaTi2AgPd.

Summary:
Its space group is P4/mmm. The calculation puts the formation energy at 1.349 eV per atom.

Cell: 4.8261 4.5279 4.8261 Å, 90.00 90.00 90.00°
Last column: nearest neighbours and their distance in Å.
Fractional coordinates of all 5 atoms:
Na 0.0000 0.0000 0.0000  2 Pd 2.26, 4 Ti 2.41
Pd 0.0000 0.5000 0.0000  2 Na 2.26
Ag 0.5000 0.5000 0.5000  8 Ti 3.31, 4 Pd 3.41
Ti 0.0000 0.0000 0.5000  2 Na 2.41
Ti 0.5000 0.0000 0.0000  2 Na 2.41

---

A plane-wave DFT calculation with PBE-GGA was carried out for a relaxed structure of RbNbP2.

Summary:
The offset from the most stable computed form is 3.64 eV/f.u. Its space group is Fm-3m. The calculation puts the formation energy at 0.612 eV per atom.

Cell: 4.8327 4.8327 4.8327 Å, 60.00 60.00 60.00°
Last column: nearest neighbours and their distance in Å.
Fractional coordinates of all 4 atoms:
P 0.2500 0.2500 0.2500  4 Nb 2.96, 4 Rb 2.96
P 0.7500 0.7500 0.7500  4 Nb 2.96, 4 Rb 2.96
Nb 0.5000 0.5000 0.5000  8 P 2.96
Rb 0.0000 0.0000 0.0000  8 P 2.96

---

A plane-wave DFT calculation with PBE-GGA was carried out for a relaxed structure of TlInSnAu.

Summary:
The offset from the most stable computed form is 0.38 eV/f.u. Its space group is F-43m. The calculation puts the formation energy at 0.079 eV per atom.

Cell: 5.2505 5.2505 5.2505 Å, 60.00 60.00 60.00°
Last column: nearest neighbours and their distance in Å.
Fractional coordinates of all 4 atoms:
Tl 0.7500 0.7500 0.7500  4 Au 3.22, 4 In 3.22
Au 0.5000 0.5000 0.5000  4 Tl 3.22, 4 Sn 3.22
Sn 0.2500 0.2500 0.2500  4 In 3.22, 4 Au 3.22
In 0.0000 0.0000 0.0000  4 Sn 3.22, 4 Tl 3.22

---

A plane-wave DFT calculation with PBE-GGA was carried out for a relaxed structure of SrNiS2.

Summary:
Its space group is R-3m. For the raw formation energy, the calculation gives -0.78 eV per atom.

Cell: 7.4083 7.4083 7.4083 Å, 36.50 36.50 36.50°
Last column: nearest neighbours and their distance in Å.
Fractional coordinates of all 4 atoms:
Sr 0.5000 0.5000 0.5000  6 S 3.01
S 0.9000 0.9000 0.9000  1 Ni 2.07
S 0.1000 0.1000 0.1000  1 Ni 2.07
Ni 0.0000 0.0000 0.0000  2 S 2.07

---

A plane-wave DFT calculation with PBE-GGA was carried out for a relaxed structure of TbZn11Pt.

Summary:
Its space group is C2/m. The calculation puts the formation energy at -0.274 eV per atom.

Cell: 5.2310 6.8339 6.8353 Å, 81.27 67.50 66.64°
Last column: nearest neighbours and their distance in Å.
Fractional coordinates of all 13 atoms:
Tb 0.0000 0.0000 0.0000  18 Zn 3.14-3.42, 2 Pt 3.38
Zn 0.2804 0.2146 0.2183  8 Zn 2.58-2.86, 1 Pt 2.63
Zn 0.7196 0.7854 0.7817  8 Zn 2.58-2.86, 1 Pt 2.63
Zn 0.5012 0.7854 0.2183  8 Zn 2.58-2.86, 1 Pt 2.63
Zn 0.4988 0.2146 0.7817  8 Zn 2.58-2.86, 1 Pt 2.63
Zn 0.3644 0.6464 0.6475  8 Zn 2.62-2.91, 1 Pt 2.71
Zn 0.6356 0.3536 0.3525  8 Zn 2.62-2.91, 1 Pt 2.71
Zn 0.9881 0.3536 0.6475  8 Zn 2.62-2.91, 1 Pt 2.71
Zn 0.0119 0.6464 0.3525  8 Zn 2.62-2.91, 1 Pt 2.71
Zn 0.0000 0.5000 0.0000  8 Zn 2.59-2.78, 2 Pt 2.62
Zn 0.5000 0.0000 0.5000  10 Zn 2.58-2.75
Zn 0.0000 0.0000 0.5000  10 Zn 2.58-2.75
Pt 0.5000 0.5000 0.0000  10 Zn 2.62-2.71

---

A plane-wave DFT calculation with PBE-GGA was carried out for a relaxed structure of BaMg2TlIn4.

Summary:
Its space group is R-3m. The calculation puts the formation energy at -0.145 eV per atom.

Cell: 5.2512 5.2512 10.3725 Å, 75.34 75.34 60.00°
Last column: nearest neighbours and their distance in Å.
Fractional coordinates of all 8 atoms:
Ba 0.0000 0.0000 0.0000  8 In 3.61-3.72
Mg 0.7604 0.7604 0.7189  7 In 3.15-3.41
Mg 0.2396 0.2396 0.2811  7 In 3.15-3.41
Tl 0.5000 0.5000 0.5000  8 In 3.01-3.28
In 0.3989 0.3989 0.8032  1 Tl 3.01, 3 Mg 3.15
In 0.8750 0.8750 0.3749  4 Mg 3.17-3.41, 3 Tl 3.28, 3 In 3.51
In 0.1250 0.1250 0.6251  4 Mg 3.17-3.41, 3 Tl 3.28, 3 In 3.51
In 0.6011 0.6011 0.1968  1 Tl 3.01, 3 Mg 3.15

---

A plane-wave DFT calculation with PBE-GGA was carried out for a relaxed structure of CdInOs2.

Summary:
Its space group is I4/mmm. The calculation puts the formation energy at 0.801 eV per atom.

Cell: 5.0771 5.0771 5.0771 Å, 133.01 133.01 68.64°
Last column: nearest neighbours and their distance in Å.
Fractional coordinates of all 4 atoms:
Cd 0.2500 0.7500 0.5000  4 In 2.86, 8 Os 2.91
Os 0.0000 0.0000 0.0000  4 Os 2.86, 4 Cd 2.91, 4 In 2.91
Os 0.5000 0.5000 0.0000  4 Os 2.86, 4 Cd 2.91, 4 In 2.91
In 0.7500 0.2500 0.5000  4 Cd 2.86, 8 Os 2.91

---

| no. | total energy (eV for the cell shown) |
| --- | --- |
| 1 | -42.00 |
| 2 | -82.92 |
| 3 | -98.25 |
| 4 | -58.60 |
| 5 | -149.04 |
| 6 | -18.41 |
| 7 | -19.41 |
| 8 | -12.07 |
| 9 | -18.85 |
| 10 | -28.24 |
| 11 | -19.59 |
| 12 | -22.91 |